The following is a DFT calculation (meta-GGA SCAN) of a crystal of Al2NiMo relaxed with PBEsol.

The total energy comes out at -0.621 hartree per atom.

It has space group R-3m (No. 166, hexagonal axes), with a = 2.7676 Å, b = 2.7676 Å, c = 24.9469 Å, α = 90.00°, β = 90.00° and γ = 120.00°. The asymmetric unit holds Al at (0.0000, 0.0000, 0.2428), Ni at (0.0000, 0.0000, 0.5000) and Mo at (0.0000, 0.0000, 0.0000).